No. 1
# KDyFeTe3 | OQMD via LeMat-Bulk | PBE-GGA | optimized geometry
# raw total energy	-4.786	eV per atom
data_KDyFeTe3
_space_group_name_H-M_alt 'P n m a'
_space_group_IT_number 62
_cell_length_a 16.402
_cell_length_b 4.269
_cell_length_c 11.633
_cell_angle_alpha 90.00
_cell_angle_beta 90.00
_cell_angle_gamma 90.00
loop_
_space_group_symop_operation_xyz
'x,y,z'
'-x,-y,-z'
'-x+1/2,-y,z+1/2'
'x+1/2,y,-z+1/2'
'x+1/2,-y+1/2,-z+1/2'
'-x+1/2,y+1/2,z+1/2'
'-x,y+1/2,-z'
'x,-y+1/2,z'
loop_
_atom_site_label
_atom_site_fract_x
_atom_site_fract_y
_atom_site_fract_z
K1 0.233 0.250 0.028
Dy1 0.017 0.250 0.343
Fe1 0.008 0.750 0.075
Te1 0.089 0.750 0.881
Te2 0.103 0.250 0.574
Te3 0.126 0.750 0.231

***

No. 2
# TmPS4 | OQMD via LeMat-Bulk | PBE-GGA | optimized geometry
# raw total energy	-5.403	eV per atom
data_TmPS4
_space_group_name_H-M_alt 'I 41/a c d'
_space_group_IT_number 142
_cell_length_a 10.665
_cell_length_b 10.665
_cell_length_c 18.892
_cell_angle_alpha 90.00
_cell_angle_beta 90.00
_cell_angle_gamma 90.00
loop_
_space_group_symop_operation_xyz
'x,y,z'
'-x,-y,-z'
'-y+1/4,x+3/4,z+1/4'
'y+1/4,-x+3/4,-z+1/4'
'-x+1/2,-y,z+1/2'
'x+1/2,y,-z+1/2'
'y+1/4,-x+1/4,z+3/4'
'-y+1/4,x+1/4,-z+3/4'
'x,-y,-z+1/2'
'-x,y,z+1/2'
'-y+1/4,-x+1/4,-z+1/4'
'y+1/4,x+1/4,z+1/4'
'-x+1/2,y,-z'
'x+1/2,-y,z'
'y+1/4,x+3/4,-z+3/4'
'-y+1/4,-x+3/4,z+3/4'
'x+1/2,y+1/2,z+1/2'
'-x+1/2,-y+1/2,-z+1/2'
'-y+3/4,x+1/4,z+3/4'
'y+3/4,-x+1/4,-z+3/4'
'-x,-y+1/2,z'
'x,y+1/2,-z'
'y+3/4,-x+3/4,z+1/4'
'-y+3/4,x+3/4,-z+1/4'
'x+1/2,-y+1/2,-z'
'-x+1/2,y+1/2,z'
'-y+3/4,-x+3/4,-z+3/4'
'y+3/4,x+3/4,z+3/4'
'-x,y+1/2,-z+1/2'
'x,-y+1/2,z+1/2'
'y+3/4,x+1/4,-z+1/4'
'-y+3/4,-x+1/4,z+1/4'
loop_
_atom_site_label
_atom_site_fract_x
_atom_site_fract_y
_atom_site_fract_z
Tm1 0.000 0.250 0.125
Tm2 0.000 0.250 0.375
P1 0.038 0.000 0.250
S1 0.066 0.005 0.841
S2 0.086 0.113 0.004

***

No. 3
# RbUInS3 | OQMD via LeMat-Bulk | PBE-GGA | optimized geometry
# raw total energy	-5.612	eV per atom
data_RbUInS3
_space_group_name_H-M_alt 'C m c m'
_space_group_IT_number 63
_space_group_name_Hall '-C 2c 2'
_cell_length_a 4.019
_cell_length_b 16.999
_cell_length_c 11.428
_cell_angle_alpha 90.00
_cell_angle_beta 90.00
_cell_angle_gamma 90.00
loop_
_atom_site_label
_atom_site_fract_x
_atom_site_fract_y
_atom_site_fract_z
Rb1 0.000 0.182 0.250
U1 0.000 0.500 0.000
In1 0.000 0.125 0.750
S1 0.000 0.104 0.002
S2 0.000 0.490 0.250

***

The calculation returns the following size of the total moment values, one per record and in order: 3.720; 0.002; 2.002 μB per formula unit.